First-principles (GGA+U) data for a relaxed Rb2WCl5O crystal, as listed in Alexandria via LeMat-Bulk.

```
Rb2WCl5O
1.0
-3.613 3.613 5.098
3.613 -3.613 5.098
3.613 3.613 -5.098
Rb W Cl O
2 1 5 1
direct
0.000 0.500 0.500
0.500 0.000 0.500
0.233 0.233 0.000
0.014 0.014 0.524
0.014 0.490 0.000
0.481 0.481 0.000
0.490 0.014 0.000
0.490 0.490 0.476
0.061 0.061 0.000
```

## Properties
Volume in Å³ per cell: 266.2
Total DFT energy (no corrections) in eV per formula unit: -37.881
Total moment in μB/f.u.: 0.96
Space group: No. 107
Density of states at the Fermi level in states/eV/f.u.: 0.000


First-principles (GGA+U) data for a relaxed RbWClO3 crystal, as listed in Alexandria via LeMat-Bulk.

```
RbWClO3
1.0
2.993 -9.594 0.000
2.993 9.594 0.000
-0.005 0.000 5.562
Rb W Cl O
2 2 2 6
direct
0.240 0.760 0.750
0.760 0.240 0.250
0.031 0.969 0.250
0.969 0.031 0.750
0.321 0.679 0.250
0.679 0.321 0.750
0.121 0.879 0.250
0.207 0.208 0.500
0.208 0.207 0.000
0.792 0.793 0.000
0.793 0.792 0.500
0.879 0.121 0.750
```

## Properties
Volume in Å³ per cell: 319.4
Total DFT energy (no corrections) in eV per formula unit: -35.470
Total moment in μB/f.u.: 0.12
Space group: No. 15


- Which of these has the highest total moment?
  Rb2WCl5O


- The highest total DFT energy (no corrections) belongs to which entry?
  RbWClO3